# 1
# Sr2HgRh

An optimized crystal structure of Sr2HgRh (PBE, Alexandria via LeMat-Bulk).

Calculated values
The calculation puts the energy relative to the elements at -130 meV/atom.

a = 4.5926 Å, b = 4.5926 Å, c = 10.2394 Å
α = 90.00°, β = 90.00°, γ = 90.00°
Closest atoms and distances in Å follow each position.
Space group I-4m2 (No. 119)
Unique sites:
1 Sr 0.0000 0.0000 0.0000 (multiplicity 2)  4 Rh 3.25, 4 Hg 3.44, 4 Sr 3.44
2 Sr 0.0000 0.5000 0.2500 (multiplicity 2)  4 Hg 3.25, 4 Rh 3.44, 4 Sr 3.44
3 Hg 0.0000 0.5000 0.7500 (multiplicity 2)  8 Sr 3.25-3.44, 4 Rh 3.44
4 Rh 0.0000 0.0000 0.5000 (multiplicity 2)  8 Sr 3.25-3.44, 4 Hg 3.44

# 2
# CaSmB12

An optimized crystal structure of CaSmB12 (PBE, Alexandria via LeMat-Bulk).

Calculated values
The calculation puts the energy relative to the elements at -440 meV/atom.

a = 4.1304 Å, b = 4.1304 Å, c = 8.2666 Å
α = 90.00°, β = 90.00°, γ = 90.00°
Closest atoms and distances in Å follow each position.
Space group P4/mmm (No. 123)
Unique sites:
1 Ca 0.0000 0.0000 0.0000 (multiplicity 1)  24 B 3.04
2 Sm 0.0000 0.0000 0.5000 (multiplicity 1)  24 B 3.03
3 B 0.2004 0.5000 0.2507 (multiplicity 8)  5 B 1.66-1.75
4 B 0.5000 0.5000 0.1006 (multiplicity 2)  5 B 1.66-1.75
5 B 0.5000 0.5000 0.4004 (multiplicity 2)  5 B 1.65-1.75

# 3
# MgCdAg4

An optimized crystal structure of MgCdAg4 (PBE, Alexandria via LeMat-Bulk).

Calculated values
The calculation puts the energy relative to the elements at -108 meV/atom.

a = 5.0581 Å, b = 8.9911 Å, c = 5.0732 Å
α = 90.00°, β = 105.91°, γ = 90.00°
Closest atoms and distances in Å follow each position.
Space group C2/m (No. 12)
Unique sites:
1 Mg 0.0000 0.0000 0.0000 (multiplicity 2)  10 Ag 2.94-2.99, 2 Cd 3.05
2 Cd 0.0000 0.5000 0.5000 (multiplicity 2)  10 Ag 2.93-3.01, 2 Mg 3.05
3 Ag 0.0000 0.1655 0.5000 (multiplicity 4)  3 Cd 2.93-3.01, 2 Mg 2.94, 7 Ag 2.95-3.05
4 Ag 0.0000 0.3327 0.0000 (multiplicity 4)  7 Ag 2.93-3.05, 3 Mg 2.94-2.99, 2 Cd 2.95

# 4
# B3AuN

An optimized crystal structure of B3AuN (PBE, Alexandria via LeMat-Bulk).

Calculated values
The calculation puts the final energy at -22.8 eV per formula unit.

a = 3.5697 Å, b = 3.5697 Å, c = 3.5697 Å
α = 90.00°, β = 90.00°, γ = 90.00°
Closest atoms and distances in Å follow each position.
Space group Pm-3m (No. 221)
Unique sites:
1 B 0.0000 0.0000 0.5000 (multiplicity 3)  2 N 1.78
2 Au 0.5000 0.5000 0.5000 (multiplicity 1)  12 B 2.52
3 N 0.0000 0.0000 0.0000 (multiplicity 1)  6 B 1.78

# 5
# Er2Sc3Tl

An optimized crystal structure of Er2Sc3Tl (PBE, Alexandria via LeMat-Bulk).

Calculated values
The calculation puts the energy relative to the elements at -50 meV/atom.

a = 3.7466 Å, b = 16.1959 Å, c = 5.1668 Å
α = 90.00°, β = 90.00°, γ = 90.00°
Closest atoms and distances in Å follow each position.
Space group Cmmm (No. 65)
Unique sites:
1 Er 0.0000 0.1634 0.0000 (multiplicity 4)  4 Sc 3.19, 2 Tl 3.24, 2 Er 3.37
2 Sc 0.0000 0.0000 0.5000 (multiplicity 2)  4 Tl 3.19, 4 Sc 3.37
3 Sc 0.0000 0.3269 0.5000 (multiplicity 4)  4 Sc 3.12-3.37, 4 Er 3.19
4 Tl 0.0000 0.5000 0.0000 (multiplicity 2)  4 Sc 3.19, 4 Er 3.24

# 6
# LaTbRh2

An optimized crystal structure of LaTbRh2 (PBE, Alexandria via LeMat-Bulk).

Calculated values
The calculation puts the energy relative to the elements at -728 meV/atom.

a = 3.4745 Å, b = 3.4745 Å, c = 7.1989 Å
α = 90.00°, β = 90.00°, γ = 90.00°
Closest atoms and distances in Å follow each position.
Space group P4/mmm (No. 123)
Unique sites:
1 La 0.0000 0.0000 0.0000 (multiplicity 1)  8 Rh 3.12, 4 La 3.47
2 Tb 0.0000 0.0000 0.5000 (multiplicity 1)  8 Rh 2.98
3 Rh 0.5000 0.5000 0.2662 (multiplicity 2)  4 Tb 2.98, 4 La 3.12

# 7
# CoTc2Pd

An optimized crystal structure of CoTc2Pd (PBE, Alexandria via LeMat-Bulk).

Calculated values
The calculation puts the energy relative to the elements at 589 meV/atom.

a = 6.9045 Å, b = 6.9045 Å, c = 5.0174 Å
α = 90.00°, β = 90.00°, γ = 90.00°
Closest atoms and distances in Å follow each position.
Space group I-42d (No. 122)
Unique sites:
1 Co 0.0000 0.0000 0.0000 (multiplicity 4)  4 Tc 2.29, 2 Pd 2.51
2 Tc 0.1970 0.2500 0.1250 (multiplicity 8)  2 Co 2.29
3 Pd 0.0000 0.0000 0.5000 (multiplicity 4)  2 Co 2.51, 4 Tc 2.78

# 8
# LiTh2Co

An optimized crystal structure of LiTh2Co (PBE, Alexandria via LeMat-Bulk).

Calculated values
The calculation puts the energy relative to the elements at -6 meV/atom.

a = 3.8099 Å, b = 3.8099 Å, c = 26.1746 Å
α = 90.00°, β = 90.00°, γ = 120.00°
Closest atoms and distances in Å follow each position.
Space group R3m (No. 160, hexagonal axes)
Unique sites:
1 Li 0.0000 0.0000 0.0000 (multiplicity 3)  6 Th 3.50-3.59, 6 Li 3.81
2 Th 0.0000 0.0000 0.2252 (multiplicity 3)  3 Co 2.71
3 Th 0.0000 0.0000 0.4376 (multiplicity 3)  3 Co 2.71
4 Co 0.0000 0.0000 0.8312 (multiplicity 3)  6 Th 2.71

- Which formula does entry 4 have?
  B3AuN